A relaxed structure of Pm12Dy2Tm. Source: Alexandria via LeMat-Bulk, functional PBE.

The structure belongs to space group P4/nbm (No. 125, origin choice 2); the cell edges are 6.5209, 6.5209 and 25.3614 Å and the angles 90.00°, 90.00° and 90.00°. The distinct sites, in fractional coordinates, are Pm at (0.0669, 0.5669, 0.1138), Pm at (0.0823, 0.5823, 0.5624), Pm at (0.2500, 0.2500, 0.2148), Pm at (0.2500, 0.2500, 0.3371), Dy at (0.2500, 0.7500, 0.2715) and Tm at (0.2500, 0.7500, 0.0000).

=====

A relaxed structure of ReP2Se. Source: Alexandria via LeMat-Bulk, functional PBE.

The structure belongs to space group P4mm (No. 99); the cell edges are 3.0936, 3.0936 and 7.2890 Å and the angles 90.00°, 90.00° and 90.00°. The distinct sites, in fractional coordinates, are Re at (0.0000, 0.0000, 0.0000), P at (0.0000, 0.0000, 0.6569), P at (0.5000, 0.5000, 0.7997) and Se at (0.5000, 0.5000, 0.2124).

The calculation puts the formation energy (no corrections) at 203 meV per atom.

=====

A relaxed structure of Y2MgCl. Source: Alexandria via LeMat-Bulk, functional PBE.

The structure belongs to space group Fm-3m (No. 225); the cell edges are 7.5389, 7.5389 and 7.5389 Å and the angles 90.00°, 90.00° and 90.00°. The distinct sites, in fractional coordinates, are Y at (0.2500, 0.2500, 0.2500), Mg at (0.0000, 0.0000, 0.0000) and Cl at (0.0000, 0.0000, 0.5000).

The calculation puts the formation energy (no corrections) at -277 meV per atom. For the excess energy over the best structure of this formula in the dataset, the calculation gives 0.370 eV/atom.

=====

A relaxed structure of SrZnSnAu. Source: Alexandria via LeMat-Bulk, functional PBE.

The structure belongs to space group F-43m (No. 216); the cell edges are 7.2533, 7.2533 and 7.2533 Å and the angles 90.00°, 90.00° and 90.00°. The distinct sites, in fractional coordinates, are Sr at (0.0000, 0.0000, 0.0000), Zn at (0.2500, 0.2500, 0.7500), Sn at (0.0000, 0.0000, 0.5000) and Au at (0.2500, 0.2500, 0.2500).

=====

| no. | theoretical density (g cm⁻³) | total magnetic moment (μB/atom) | total DFT energy (no corrections) (eV/atom) |
| --- | --- | --- | --- |
| 1 | 6.9 | 0.00 | -4.387 |
| 2 | 7.8 | 0.00 | -6.485 |
| 3 | 3.7 | 0.00 | -4.370 |
| 4 | 8.2 | 0.00 | -2.956 |